Material: TbZn2Ag5
Method: DFT, PBE
State: relaxed

Computed properties:
Energy of formation from the pure elements = -0.11 eV/atom

CIF file:
```
data_TbZn2Ag5
_cell_length_a 3.5501
_cell_length_b 8.2158
_cell_length_c 10.5061
_cell_angle_alpha 90.00
_cell_angle_beta 90.00
_cell_angle_gamma 90.00
_space_group_name_H-M_alt 'I m m m'
_space_group_IT_number 71
_space_group_name_Hall '-I 2 2'
loop_
_atom_site_label
_atom_site_type_symbol
_atom_site_fract_x
_atom_site_fract_y
_atom_site_fract_z
_atom_site_occupancy
Tb1 Tb 0.0000 0.0000 0.0000 1
Zn1 Zn 0.0000 0.5000 0.2584 1
Ag1 Ag 0.0000 0.2104 0.3617 1
Ag2 Ag 0.0000 0.5000 0.0000 1
```

Material: Cr2NiIr
Method: DFT, PBE
State: relaxed

Computed properties:
Energy of formation from the pure elements = 0.00 eV/atom

CIF file:
```
data_Cr2NiIr
_cell_length_a 2.5971
_cell_length_b 2.5971
_cell_length_c 7.3073
_cell_angle_alpha 90.00
_cell_angle_beta 90.00
_cell_angle_gamma 90.00
_space_group_name_H-M_alt 'P 4/m m m'
_space_group_IT_number 123
_space_group_name_Hall '-P 4 2'
loop_
_atom_site_label
_atom_site_type_symbol
_atom_site_fract_x
_atom_site_fract_y
_atom_site_fract_z
_atom_site_occupancy
Cr1 Cr 0.0000 0.0000 0.2416 1
Ni1 Ni 0.5000 0.5000 0.0000 1
Ir1 Ir 0.5000 0.5000 0.5000 1
```

Material: GaCo2Mo2
Method: DFT, PBE
State: relaxed

Computed properties:
Energy of formation from the pure elements = 0.10 eV/atom

CIF file:
```
data_GaCo2Mo2
_cell_length_a 7.0512
_cell_length_b 7.0512
_cell_length_c 2.7728
_cell_angle_alpha 90.00
_cell_angle_beta 90.00
_cell_angle_gamma 90.00
_space_group_name_H-M_alt 'P 4/m b m'
_space_group_IT_number 127
_space_group_name_Hall '-P 4 2ab'
loop_
_atom_site_label
_atom_site_type_symbol
_atom_site_fract_x
_atom_site_fract_y
_atom_site_fract_z
_atom_site_occupancy
Ga1 Ga 0.0000 0.0000 0.0000 1
Co1 Co 0.1221 0.3779 0.0000 1
Mo1 Mo 0.1720 0.6720 0.5000 1
```

Material: Tl3Te3I
Method: DFT, PBE
State: relaxed

Computed properties:
Formation energy (no corrections) = -276 meV per atom

CIF file:
```
data_Tl3Te3I
_cell_length_a 8.9851
_cell_length_b 9.0563
_cell_length_c 9.4070
_cell_angle_alpha 90.35
_cell_angle_beta 118.03
_cell_angle_gamma 119.45
_space_group_name_H-M_alt 'P -1'
_space_group_IT_number 2
_space_group_name_Hall '-P 1'
loop_
_atom_site_label
_atom_site_type_symbol
_atom_site_fract_x
_atom_site_fract_y
_atom_site_fract_z
_atom_site_occupancy
Tl1 Tl 0.1338 0.3560 0.4594 1
Tl2 Tl 0.2084 0.7352 0.1831 1
Tl3 Tl 0.3030 0.2531 0.8376 1
Te1 Te 0.2396 0.6235 0.8203 1
Te2 Te 0.2597 0.9973 0.5057 1
Te3 Te 0.4411 0.8114 0.6534 1
I1 I 0.2754 0.3724 0.1755 1
```

Material: Rb2Cd3
Method: DFT, PBE
State: relaxed

Computed properties:
E above lowest polymorph = 0.000 eV/atom
Energy of formation from the pure elements = -0.06 eV/atom

CIF file:
```
data_Rb2Cd3
_cell_length_a 5.0291
_cell_length_b 5.0291
_cell_length_c 10.5889
_cell_angle_alpha 90.00
_cell_angle_beta 90.00
_cell_angle_gamma 120.00
_space_group_name_H-M_alt 'P -3 m 1'
_space_group_IT_number 164
_space_group_name_Hall '-P 3 2"'
loop_
_atom_site_label
_atom_site_type_symbol
_atom_site_fract_x
_atom_site_fract_y
_atom_site_fract_z
_atom_site_occupancy
Rb1 Rb 0.3333 0.6667 0.2009 1
Cd1 Cd 0.0000 0.0000 0.5000 1
Cd2 Cd 0.3333 0.6667 0.5543 1
```

Material: MgMnZnHg2
Method: DFT, PBE
State: relaxed

Computed properties:
Energy of formation from the pure elements = 0.57 eV/atom

CIF file:
```
data_MgMnZnHg2
_cell_length_a 5.2069
_cell_length_b 5.2069
_cell_length_c 5.2774
_cell_angle_alpha 90.00
_cell_angle_beta 90.00
_cell_angle_gamma 90.00
_space_group_name_H-M_alt 'P 4/m m m'
_space_group_IT_number 123
_space_group_name_Hall '-P 4 2'
loop_
_atom_site_label
_atom_site_type_symbol
_atom_site_fract_x
_atom_site_fract_y
_atom_site_fract_z
_atom_site_occupancy
Mg1 Mg 0.0000 0.0000 0.0000 1
Mn1 Mn 0.0000 0.0000 0.5000 1
Zn1 Zn 0.5000 0.5000 0.0000 1
Hg1 Hg 0.0000 0.5000 0.5000 1
```

Material: Mg2CoSb2Ru
Method: DFT, PBE
State: relaxed

Computed properties:
Formation energy (no corrections) = -276 meV per atom

CIF file:
```
data_Mg2CoSb2Ru
_cell_length_a 6.0234
_cell_length_b 12.4707
_cell_length_c 6.1280
_cell_angle_alpha 90.00
_cell_angle_beta 90.00
_cell_angle_gamma 90.00
_space_group_name_H-M_alt 'I b a m'
_space_group_IT_number 72
_space_group_name_Hall '-I 2 2c'
loop_
_atom_site_label
_atom_site_type_symbol
_atom_site_fract_x
_atom_site_fract_y
_atom_site_fract_z
_atom_site_occupancy
Mg1 Mg 0.2488 0.1403 0.0000 1
Co1 Co 0.0000 0.5000 0.2500 1
Sb1 Sb 0.2400 0.3755 0.0000 1
Ru1 Ru 0.0000 0.0000 0.2500 1
```

Material: GaReAg2W
Method: DFT, PBE
State: relaxed

Computed properties:
E above lowest polymorph = 0.000 eV/atom
Energy of formation from the pure elements = 2.14 eV/atom

CIF file:
```
data_GaReAg2W
_cell_length_a 4.9958
_cell_length_b 4.9958
_cell_length_c 4.7041
_cell_angle_alpha 90.00
_cell_angle_beta 90.00
_cell_angle_gamma 90.00
_space_group_name_H-M_alt 'P 4/m m m'
_space_group_IT_number 123
_space_group_name_Hall '-P 4 2'
loop_
_atom_site_label
_atom_site_type_symbol
_atom_site_fract_x
_atom_site_fract_y
_atom_site_fract_z
_atom_site_occupancy
Ga1 Ga 0.0000 0.0000 0.0000 1
Re1 Re 0.0000 0.0000 0.5000 1
Ag1 Ag 0.0000 0.5000 0.5000 1
W1 W 0.5000 0.5000 0.0000 1
```

Material: Lu3NbH
Method: DFT, PBE
State: relaxed

Computed properties:
E = -5.402 eV per atom

CIF file:
```
data_Lu3NbH
_cell_length_a 4.6745
_cell_length_b 4.6745
_cell_length_c 4.6745
_cell_angle_alpha 90.00
_cell_angle_beta 90.00
_cell_angle_gamma 90.00
_space_group_name_H-M_alt 'P m -3 m'
_space_group_IT_number 221
_space_group_name_Hall '-P 4 2 3'
loop_
_atom_site_label
_atom_site_type_symbol
_atom_site_fract_x
_atom_site_fract_y
_atom_site_fract_z
_atom_site_occupancy
Lu1 Lu 0.0000 0.0000 0.5000 1
Nb1 Nb 0.5000 0.5000 0.5000 1
H1 H 0.0000 0.0000 0.0000 1
```

Material: DyTm2Ir2
Method: DFT, PBE
State: relaxed

Computed properties:
E above lowest polymorph = 0.000 eV/atom
Energy of formation from the pure elements = -0.83 eV/atom

CIF file:
```
data_DyTm2Ir2
_cell_length_a 4.7385
_cell_length_b 4.7385
_cell_length_c 5.9463
_cell_angle_alpha 90.00
_cell_angle_beta 90.00
_cell_angle_gamma 120.00
_space_group_name_H-M_alt 'P -3 m 1'
_space_group_IT_number 164
_space_group_name_Hall '-P 3 2"'
loop_
_atom_site_label
_atom_site_type_symbol
_atom_site_fract_x
_atom_site_fract_y
_atom_site_fract_z
_atom_site_occupancy
Dy1 Dy 0.0000 0.0000 0.0000 1
Tm1 Tm 0.3333 0.6667 0.6626 1
Ir1 Ir 0.3333 0.6667 0.1730 1
```

Material: AcPPdPt6
Method: DFT, PBE
State: relaxed

Computed properties:
Energy of formation from the pure elements = -0.26 eV/atom

CIF file:
```
data_AcPPdPt6
_cell_length_a 7.0137
_cell_length_b 8.9715
_cell_length_c 11.5503
_cell_angle_alpha 90.00
_cell_angle_beta 90.00
_cell_angle_gamma 90.00
_space_group_name_H-M_alt 'I m m a'
_space_group_IT_number 74
_space_group_name_Hall '-I 2b 2'
loop_
_atom_site_label
_atom_site_type_symbol
_atom_site_fract_x
_atom_site_fract_y
_atom_site_fract_z
_atom_site_occupancy
Ac1 Ac 0.0000 0.2500 0.1685 1
P1 P 0.0000 0.0000 0.5000 1
Pd1 Pd 0.2500 0.2500 0.7500 1
Pt1 Pt 0.0000 0.2500 0.4330 1
Pt2 Pt 0.0000 0.2500 0.9121 1
Pt3 Pt 0.2458 0.0138 0.8792 1
```

Material: Li3ScTi2S6
Method: DFT, PBE
State: relaxed

Computed properties:
Formation energy (no corrections) = -1510 meV per atom

CIF file:
```
data_Li3ScTi2S6
_cell_length_a 6.1642
_cell_length_b 10.6825
_cell_length_c 6.4484
_cell_angle_alpha 90.00
_cell_angle_beta 108.64
_cell_angle_gamma 90.00
_space_group_name_H-M_alt 'C 1 2/m 1'
_space_group_IT_number 12
_space_group_name_Hall '-C 2y'
loop_
_atom_site_label
_atom_site_type_symbol
_atom_site_fract_x
_atom_site_fract_y
_atom_site_fract_z
_atom_site_occupancy
Li1 Li 0.0000 0.0000 0.0000 1
Li2 Li 0.0000 0.3351 0.0000 1
Sc1 Sc 0.0000 0.5000 0.5000 1
Ti1 Ti 0.0000 0.1672 0.5000 1
S1 S 0.2376 0.0000 0.7385 1
S2 S 0.2495 0.1710 0.2616 1
```